Computed, not measured: CsZnPS2 after structural relaxation at the PBE-GGA level of DFT.

Results
- ΔE to the lowest computed polymorph (meV/atom) = 0
- density of states at the Fermi level (states/eV per cell) = 4.5
- formation energy (no corrections) (meV/atom) = 172

Unit cell a=5.076 b=5.076 c=4.742 alpha=90.00 beta=90.00 gamma=90.00
Space group P4/mmm (No. 123)
Unique sites:
Cs 0.000 0.000 0.000 (multiplicity 1)
Zn 0.500 0.500 0.500 (multiplicity 1)
P 0.500 0.500 0.000 (multiplicity 1)
S 0.000 0.500 0.500 (multiplicity 2)